Record 1
NaNdBi2Se4 | PBE-GGA | relaxed

Properties
- V: 245 Å³/f.u.
- ΔE_f (raw): -0.8493 eV/atom
- D(E_F): 0.09 states/eV/f.u.

abc: 7.8092 4.1614 7.8986
angles: 90.00 107.20 90.00
Fractional coordinates of all 8 atoms:
Na 0.0000 0.0000 0.0000
Nd 0.5000 0.5000 0.5000
Bi 0.0000 0.0000 0.5000
Bi 0.5000 0.5000 0.0000
Se 0.1150 0.5000 0.2899
Se 0.3823 0.0000 0.7195
Se 0.6177 0.0000 0.2805
Se 0.8850 0.5000 0.7101



Record 2
Ce2Ge2Pd | PBE-GGA | relaxed

Properties
- Calculated formation energy: -0.74 eV per atom
- V: 119 Å³/f.u.
- Excess energy over the best structure of this formula in the dataset: 0.085 eV per atom
- D(E_F): 3.91 states/eV/f.u.

abc: 7.9634 7.9634 7.1852
angles: 90.00 90.00 148.51
Fractional coordinates of all 10 atoms:
Ce 0.0233 0.9767 0.5000
Ce 0.2151 0.7849 0.8543
Ce 0.7849 0.2151 0.3543
Ce 0.9767 0.0233 0.0000
Ge 0.1687 0.8313 0.2481
Ge 0.4244 0.5756 0.2793
Ge 0.5756 0.4244 0.7793
Ge 0.8313 0.1687 0.7481
Pd 0.4092 0.5908 0.6481
Pd 0.5908 0.4092 0.1481



Record 3
BaNb6O12 | PBE-GGA | relaxed

Properties
- V: 232 Å³/f.u.
- Excess energy over the best structure of this formula in the dataset: 0.187 eV per atom
- ΔE_f (raw): -2.0766 eV/atom
- D(E_F): 11.78 states/eV/f.u.

abc: 6.4137 6.4137 6.4137
angles: 104.78 104.78 104.78
Fractional coordinates of all 19 atoms:
Ba 0.0000 0.0000 0.0000
Nb 0.2360 0.2360 0.6252
Nb 0.2360 0.6252 0.2360
Nb 0.3748 0.7640 0.7640
Nb 0.6252 0.2360 0.2360
Nb 0.7640 0.3748 0.7640
Nb 0.7640 0.7640 0.3748
O 0.1274 0.5000 0.8726
O 0.1274 0.8726 0.5000
O 0.1872 0.4663 0.4663
O 0.4663 0.1872 0.4663
O 0.4663 0.4663 0.1872
O 0.5000 0.1274 0.8726
O 0.5000 0.8726 0.1274
O 0.5337 0.5337 0.8128
O 0.5337 0.8128 0.5337
O 0.8128 0.5337 0.5337
O 0.8726 0.1274 0.5000
O 0.8726 0.5000 0.1274



Record 4
CaLa5MgAl2 | PBE-GGA | relaxed

Properties
- Calculated formation energy: -0.08 eV per atom
- V: 309 Å³/f.u.
- D(E_F): 14.35 states/eV/f.u.

abc: 7.8042 7.8042 10.1520
angles: 90.00 90.00 90.00
Fractional coordinates of all 18 atoms:
Ca 0.0000 0.0000 0.0000
Ca 0.5000 0.5000 0.0000
La 0.0000 0.0000 0.5000
La 0.1909 0.3091 0.2668
La 0.1909 0.3091 0.7332
La 0.3091 0.8091 0.2668
La 0.3091 0.8091 0.7332
La 0.5000 0.5000 0.5000
La 0.6909 0.1909 0.2668
La 0.6909 0.1909 0.7332
La 0.8091 0.6909 0.2668
La 0.8091 0.6909 0.7332
Mg 0.0000 0.5000 0.0000
Mg 0.5000 0.0000 0.0000
Al 0.1145 0.6145 0.5000
Al 0.3855 0.1145 0.5000
Al 0.6145 0.8855 0.5000
Al 0.8855 0.3855 0.5000



Record 5
MnTeOs2 | PBE-GGA | relaxed

Properties
- V: 67 Å³/f.u.
- ΔE_f (raw): 0.8813 eV/atom
- D(E_F): 5.21 states/eV/f.u.

abc: 2.8317 2.8317 9.3752
angles: 90.00 90.00 117.36
Fractional coordinates of all 4 atoms:
Mn 0.0000 0.0000 0.0000
Te 0.0000 0.0000 0.5000
Os 0.5000 0.5000 0.2166
Os 0.5000 0.5000 0.7834



Record 6
Pd8PbAu2 | PBE-GGA | relaxed

Properties
- Calculated formation energy: -0.03 eV per atom
- V: 192 Å³/f.u.
- Excess energy over the best structure of this formula in the dataset: 0.000 eV per atom
- D(E_F): 12.01 states/eV/f.u.

abc: 7.5306 7.5306 7.5306
angles: 148.76 118.24 70.84
Fractional coordinates of all 11 atoms:
Pd 0.0888 0.3343 0.7545
Pd 0.1666 0.1666 0.0000
Pd 0.2650 0.0000 0.2650
Pd 0.4201 0.6657 0.7545
Pd 0.5799 0.3343 0.2455
Pd 0.7350 0.0000 0.7350
Pd 0.8334 0.8334 0.0000
Pd 0.9112 0.6657 0.2455
Pb 0.0000 0.5000 0.5000
Au 0.3320 0.8320 0.5000
Au 0.6680 0.1680 0.5000



Record 7
La2OsCI | PBE-GGA | relaxed

Properties
- V: 118 Å³/f.u.
- ΔE_f (raw): -0.4224 eV/atom
- D(E_F): 3.76 states/eV/f.u.

abc: 5.4898 5.4898 3.9285
angles: 90.00 90.00 90.00
Fractional coordinates of all 5 atoms:
La 0.0000 0.5000 0.0000
La 0.5000 0.0000 0.0000
Os 0.0000 0.0000 0.5000
C 0.0000 0.0000 0.0000
I 0.5000 0.5000 0.5000



Record 8
Ba4Te3Se | PBE-GGA | relaxed

Properties
- V: 341 Å³/f.u.
- ΔE_f (raw): -1.8432 eV/atom
- D(E_F): 0.00 states/eV/f.u.

abc: 8.5632 8.5632 4.9359
angles: 90.00 90.00 109.41
Fractional coordinates of all 8 atoms:
Ba 0.2406 0.2406 0.5000
Ba 0.2451 0.7549 0.0000
Ba 0.7549 0.2451 0.0000
Ba 0.7594 0.7594 0.5000
Te 0.0000 0.5000 0.5000
Te 0.5000 0.0000 0.5000
Te 0.5000 0.5000 0.0000
Se 0.0000 0.0000 0.0000



Record 9
RbPaS4 | PBE-GGA | relaxed

Properties
- V: 203 Å³/f.u.
- Excess energy over the best structure of this formula in the dataset: 0.000 eV per atom
- ΔE_f (raw): -1.2203 eV/atom

abc: 8.2482 8.2482 7.4884
angles: 92.47 92.47 52.91
Fractional coordinates of all 12 atoms:
Rb 0.1892 0.1892 0.1621
Rb 0.8108 0.8108 0.8379
Pa 0.4596 0.4596 0.7421
Pa 0.5404 0.5404 0.2579
S 0.1851 0.6753 0.4708
S 0.2666 0.7334 0.0000
S 0.2937 0.2937 0.7677
S 0.3247 0.8149 0.5292
S 0.6753 0.1851 0.4708
S 0.7063 0.7063 0.2323
S 0.7334 0.2666 0.0000
S 0.8149 0.3247 0.5292